DFT (PBE) results for an optimized crystal structure of Tb4Dy7Y.

Computed properties:
- Formation enthalpy at 0 K: 0.283 eV per atom
- Final energy: -4.48 eV/atom
- Energy above the lowest structure with this stoichiometry: 197.0 meV/atom
- N(E_F): 40.26 states/eV per cell

a b c (Å): 12.0374 5.8767 12.6764
angles (deg): 90.00 118.34 90.00
Last column: nearest neighbours and their distance in Å.
Space group C2/m (No. 12)
Unique sites:
Tb 0.0626 0.0000 0.3206 x4  5 Dy 3.27-3.65, 2 Tb 3.63
Tb 0.1387 0.5000 0.7758 x4  7 Dy 3.36-3.62, 2 Tb 3.63
Dy 0.0000 0.0000 0.0000 x2  2 Y 2.94, 2 Dy 3.12
Dy 0.1328 0.5000 0.5000 x4  4 Dy 3.20-3.56, 5 Tb 3.27-3.56
Dy 0.2105 0.0000 0.9232 x4  4 Dy 3.12-3.40, 1 Y 3.14, 4 Tb 3.27-3.37
Dy 0.2404 0.0000 0.6786 x4  4 Dy 3.28-3.56, 3 Tb 3.62-3.65
Y 0.0000 0.5000 0.0000 x2  4 Dy 2.94-3.14